## a
PBE YCoAgBi, optimized geometry; symmetry = F-43m (216)
1.0
0.000 3.477 3.477
3.477 0.000 3.477
3.477 3.477 0.000
Ag Bi Co Y
1 1 1 1
Cartesian
3.477 3.477 3.477
0.000 0.000 0.000
5.215 5.215 5.215
1.738 1.738 1.738

## b
PBE YCoAgBi, optimized geometry; symmetry = F-43m (216)
1.0
0.000 3.460 3.460
3.460 0.000 3.460
3.460 3.460 0.000
Ag Bi Co Y
1 1 1 1
Cartesian
1.730 1.730 1.730
0.000 0.000 0.000
5.190 5.190 5.190
3.460 3.460 3.460

Stability check: which of them is most stable? b.

## a
PBE ZrCoAgBi, optimized geometry; symmetry = F-43m (216)
1.0
2.922 -2.860 2.425
-1.290 -4.480 0.932
2.171 -3.607 -2.209
Ag Bi Co Zr
1 1 1 1
Cartesian
1.901 -5.473 0.574
0.000 0.000 0.000
2.852 -8.210 0.861
0.951 -2.737 0.287

## b
PBE ZrCoAgBi, optimized geometry; symmetry = F-43m (216)
1.0
0.000 3.367 3.367
3.367 0.000 3.367
3.367 3.367 0.000
Ag Bi Co Zr
1 1 1 1
Cartesian
1.684 1.684 1.684
0.000 0.000 0.000
5.051 5.051 5.051
3.367 3.367 3.367

Stability check: which of them is most stable? b.

## a
PBE Cs2AgBiF6, optimized geometry; symmetry = P2_1/c (14)
1.0
6.500 0.000 0.000
0.000 6.331 0.000
-6.329 0.000 9.080
Ag Bi Cs F
2 2 4 12
Cartesian
0.000 0.000 0.000
-3.165 3.165 4.540
3.250 3.165 0.000
0.085 0.000 4.540
0.024 3.044 2.238
3.311 6.209 2.302
-3.140 0.122 6.778
0.146 3.287 6.841
4.637 1.417 0.147
5.002 4.539 0.271
2.964 3.056 2.221
0.371 6.221 2.319
-1.667 1.374 4.269
-1.302 4.582 4.392
1.473 1.749 4.687
1.838 4.957 4.810
-0.200 0.109 6.761
-2.794 3.275 6.859
-4.832 1.792 8.809
-4.467 4.914 8.932

## b
PBE Cs2AgBiF6, optimized geometry; symmetry = R-3m (166)
1.0
3.250 1.877 10.905
-3.250 1.877 10.905
0.000 -3.753 10.905
Ag Bi Cs F
2 2 4 12
Cartesian
0.000 0.000 13.411
0.000 0.000 19.303
0.000 0.000 0.000
0.000 0.000 16.357
0.000 0.000 4.164
0.000 0.000 9.086
0.000 0.000 23.628
0.000 0.000 28.550
0.000 1.910 15.104
1.718 0.992 12.279
-1.718 0.992 12.279
0.000 1.983 20.435
1.654 0.955 17.611
-1.654 0.955 17.611
1.654 -0.955 15.104
-1.654 -0.955 15.104
0.000 -1.983 12.279
-1.718 -0.992 20.435
1.718 -0.992 20.435
0.000 -1.910 17.611

Stability check: which of them is most stable? b.

## a
PBE CsNaAgBi, optimized geometry; symmetry = Amm2 (38)
1.0
-1.823 5.620 0.999
-6.225 -2.465 2.506
3.567 0.056 6.196
Ag Bi Cs Na
2 2 2 2
Cartesian
-3.026 -0.959 8.688
-3.955 1.904 9.196
-1.486 2.289 2.382
-1.888 -1.711 6.178
-2.750 -1.350 2.574
0.772 -0.443 3.901
-4.377 0.720 5.934
-1.139 1.553 7.154

## b
PBE CsNaAgBi, optimized geometry; symmetry = P2_1/m (11)
1.0
-5.282 -3.641 -0.683
0.575 -1.908 5.725
-2.563 6.508 2.426
Ag Bi Cs Na
2 2 2 2
Cartesian
0.000 0.000 0.000
0.288 -0.954 2.863
-1.831 0.693 2.020
-5.440 0.265 5.449
-2.990 -2.319 4.341
-4.281 3.278 3.127
-1.623 1.078 5.336
-5.648 -0.120 2.132

## c
PBE CsNaAgBi, optimized geometry; symmetry = Ama2 (40)
1.0
-0.353 -6.392 -0.906
2.643 -1.025 6.204
-5.524 -0.261 3.992
Ag Bi Cs Na
2 2 2 2
Cartesian
-0.029 -0.013 0.104
-0.206 -3.209 -0.349
0.214 -5.601 4.830
-3.391 -2.051 4.258
0.239 -2.134 3.429
-2.465 -5.093 2.292
-0.750 -2.585 6.999
-3.491 -5.541 5.852

Stability check: which of them is most stable? b.

## a
PBE CuAgHgBi, optimized geometry; symmetry = F-43m (216)
1.0
0.000 3.516 3.516
3.516 0.000 3.516
3.516 3.516 0.000
Ag Bi Cu Hg
1 1 1 1
Cartesian
3.516 3.516 3.516
0.000 0.000 0.000
5.274 5.274 5.274
1.758 1.758 1.758

## b
PBE CuAgHgBi, optimized geometry; symmetry = F-43m (216)
1.0
-1.000 0.633 4.785
0.690 4.406 2.100
-3.881 2.713 1.369
Ag Bi Cu Hg
1 1 1 1
Cartesian
-1.048 1.938 2.063
0.000 0.000 0.000
-3.143 5.814 6.190
-2.096 3.876 4.127

Stability check: which of them is most stable? b.

## a
PBE LiCuAgBi, optimized geometry; symmetry = F-43m (216)
1.0
0.000 3.356 3.356
3.356 0.000 3.356
3.356 3.356 0.000
Ag Bi Cu Li
1 1 1 1
Cartesian
1.678 1.678 1.678
0.000 0.000 0.000
5.035 5.035 5.035
3.356 3.356 3.356

## b
PBE LiCuAgBi, optimized geometry; symmetry = F-43m (216)
1.0
0.167 -1.547 4.403
-1.937 2.507 3.431
-3.891 -1.518 2.091
Ag Bi Cu Li
1 1 1 1
Cartesian
-2.831 -0.279 4.962
0.000 0.000 0.000
-4.246 -0.419 7.444
-1.415 -0.140 2.481

Stability check: which of them is most stable? b.

## a
PBE LuCuAgBi, optimized geometry; symmetry = F-43m (216)
1.0
0.000 3.507 3.507
3.507 0.000 3.507
3.507 3.507 0.000
Ag Bi Cu Lu
1 1 1 1
Cartesian
3.507 3.507 3.507
0.000 0.000 0.000
1.754 1.754 1.754
5.261 5.261 5.261

## b
PBE LuCuAgBi, optimized geometry; symmetry = F-43m (216)
1.0
0.000 3.505 3.505
3.505 0.000 3.505
3.505 3.505 0.000
Ag Bi Cu Lu
1 1 1 1
Cartesian
5.257 5.257 5.257
0.000 0.000 0.000
1.752 1.752 1.752
3.505 3.505 3.505

Stability check: which of them is most stable? b.

## a
PBE YCuAgBi, optimized geometry; symmetry = F-43m (216)
1.0
0.000 3.539 3.539
3.539 0.000 3.539
3.539 3.539 0.000
Ag Bi Cu Y
1 1 1 1
Cartesian
1.770 1.770 1.770
0.000 0.000 0.000
5.309 5.309 5.309
3.539 3.539 3.539

## b
PBE YCuAgBi, optimized geometry; symmetry = F-43m (216)
1.0
0.000 3.556 3.556
3.556 0.000 3.556
3.556 3.556 0.000
Ag Bi Cu Y
1 1 1 1
Cartesian
3.556 3.556 3.556
0.000 0.000 0.000
1.778 1.778 1.778
5.335 5.335 5.335

Stability check: which of them is most stable? a.

## a
PBE AgBiSbF, optimized geometry; symmetry = Pbam (55)
1.0
-6.507 -6.001 -4.853
3.687 -12.916 11.028
-3.067 1.282 2.527
Ag Bi F Sb
8 8 8 8
Cartesian
-5.462 -7.564 -2.792
-3.490 -7.240 -0.563
-0.210 -4.330 1.942
-1.507 -7.021 1.733
-1.314 -11.896 4.441
-2.610 -14.586 4.232
0.669 -11.677 6.737
2.641 -11.353 8.966
-3.601 -2.036 0.113
-3.770 -5.036 1.429
-6.813 -8.772 -0.369
-5.359 -10.274 2.158
-0.528 -7.360 6.543
0.926 -8.863 9.071
-2.118 -12.599 7.272
-2.287 -15.599 8.589
-4.105 -4.041 -2.933
-1.518 -3.559 -0.037
-3.904 -9.600 0.132
0.876 -7.095 4.663
-3.697 -11.822 1.511
1.083 -9.317 6.042
-1.302 -15.358 6.212
1.285 -14.876 9.107
-1.566 -0.652 1.881
-5.805 -5.472 -0.819
-1.690 -5.487 4.182
-3.547 -8.110 3.260
-2.341 -9.525 5.442
-4.197 -12.148 4.519
-0.083 -12.162 9.520
-4.322 -16.982 6.821

## b
PBE AgBiSbF, optimized geometry; symmetry = P4/nmm (129)
1.0
3.906 0.000 0.000
0.000 3.906 0.000
0.000 0.000 11.125
Ag Bi F Sb
2 2 2 2
Cartesian
0.000 1.953 3.113
1.953 0.000 8.013
1.953 0.000 1.704
0.000 1.953 9.422
0.000 0.000 0.000
1.953 1.953 0.000
1.953 0.000 4.930
0.000 1.953 6.195

## c
PBE AgBiSbF, optimized geometry; symmetry = R-3m (166)
1.0
2.078 1.200 12.108
-2.078 1.200 12.108
0.000 -2.399 12.108
Ag Bi F Sb
2 2 2 2
Cartesian
0.000 0.000 13.545
0.000 0.000 22.778
0.000 0.000 7.263
0.000 0.000 29.060
0.000 0.000 11.226
0.000 0.000 25.098
0.000 0.000 2.998
0.000 0.000 33.326

Stability check: which of them is most stable? a.

## a
PBE AgBiSbF, optimized geometry; symmetry = P4/nmm (129)
1.0
-0.584 3.928 -0.926
-0.108 0.920 3.971
10.144 1.493 -0.069
Ag Bi F Sb
2 2 2 2
Cartesian
-0.465 3.176 0.298
-0.227 1.672 2.746
3.293 1.722 0.737
6.158 4.619 2.238
4.607 3.922 0.263
4.845 2.419 2.712
1.582 3.945 2.269
7.869 2.395 0.706

## b
PBE AgBiSbF, optimized geometry; symmetry = R-3m (166)
1.0
2.173 1.255 11.144
-2.173 1.255 11.144
0.000 -2.509 11.144
Ag Bi F Sb
2 2 2 2
Cartesian
0.000 0.000 6.305
0.000 0.000 27.127
0.000 0.000 12.885
0.000 0.000 20.547
0.000 0.000 10.308
0.000 0.000 23.124
0.000 0.000 3.435
0.000 0.000 29.998

## c
PBE AgBiSbF, optimized geometry; symmetry = Cmme (67)
1.0
1.734 4.096 0.323
-3.272 1.528 -2.616
-4.777 1.482 6.839
Ag Bi F Sb
2 2 2 2
Cartesian
-3.387 2.594 0.075
-2.928 4.512 4.471
-0.385 1.406 -0.573
-1.154 4.218 -1.720
-2.773 2.147 2.846
-3.542 4.959 1.700
-1.023 3.921 1.744
-5.292 3.185 2.802

Stability check: which of them is most stable? b.

## a
PBE HfFeAgBi, optimized geometry; symmetry = F-43m (216)
1.0
0.000 3.346 3.346
3.346 0.000 3.346
3.346 3.346 0.000
Ag Bi Fe Hf
1 1 1 1
Cartesian
3.346 3.346 3.346
0.000 0.000 0.000
5.020 5.020 5.020
1.673 1.673 1.673

## b
PBE HfFeAgBi, optimized geometry; symmetry = F-43m (216)
1.0
0.000 3.341 3.341
3.341 0.000 3.341
3.341 3.341 0.000
Ag Bi Fe Hf
1 1 1 1
Cartesian
1.670 1.670 1.670
0.000 0.000 0.000
5.011 5.011 5.011
3.341 3.341 3.341

Stability check: which of them is most stable? b.